# 1
# PrHoEr5

A geometry-optimized PrHoEr5 structure (PBE-GGA, the Alexandria database).

Calculated values
Density: 6.48 Mg/m³
Symmetry: Immm
Energy above the lowest structure with this stoichiometry: 937 meV/atom
ΔH_f (0 K): 1.134 eV per atom

Lattice parameters (Å, degrees): 5.761 8.609 11.795 90.00 90.00 90.00
Atoms (fractional coordinates):
Pr: 0.000 0.000 0.000
Pr: 0.500 0.500 0.500
Ho: 0.000 0.000 0.500
Ho: 0.500 0.500 0.000
Er: 0.000 0.000 0.254
Er: 0.000 0.000 0.746
Er: 0.000 0.321 0.500
Er: 0.000 0.500 0.000
Er: 0.000 0.679 0.500
Er: 0.500 0.000 0.500
Er: 0.500 0.179 0.000
Er: 0.500 0.500 0.246
Er: 0.500 0.500 0.754
Er: 0.500 0.821 0.000

=====

# 2
# Pr4Ho2Er

A geometry-optimized Pr4Ho2Er structure (PBE-GGA, the Alexandria database).

Calculated values
Density: 7.42 Mg/m³
Symmetry: P2_1/m
Energy above the lowest structure with this stoichiometry: 64 meV/atom
ΔH_f (0 K): 0.126 eV per atom

Lattice parameters (Å, degrees): 6.265 6.705 11.682 90.00 104.51 90.00
Atoms (fractional coordinates):
Pr: 0.044 0.250 0.366
Pr: 0.152 0.250 0.951
Pr: 0.356 0.511 0.216
Pr: 0.356 0.989 0.216
Pr: 0.644 0.011 0.784
Pr: 0.644 0.489 0.784
Pr: 0.848 0.750 0.049
Pr: 0.956 0.750 0.634
Ho: 0.287 0.750 0.922
Ho: 0.391 0.750 0.505
Ho: 0.609 0.250 0.495
Ho: 0.713 0.250 0.078
Er: 0.147 0.250 0.663
Er: 0.853 0.750 0.337

=====

# 3
# PrHo2Er9

A geometry-optimized PrHo2Er9 structure (PBE-GGA, the Alexandria database).

Calculated values
Density: 8.73 Mg/m³
Symmetry: P6/mmm
Energy above the lowest structure with this stoichiometry: 14 meV/atom
ΔH_f (0 K): 0.040 eV per atom

Lattice parameters (Å, degrees): 11.138 11.138 3.498 90.00 90.00 120.00
Atoms (fractional coordinates):
Pr: 0.000 0.000 0.000
Ho: 0.333 0.667 0.000
Ho: 0.667 0.333 0.000
Er: 0.000 0.500 0.000
Er: 0.179 0.358 0.500
Er: 0.179 0.821 0.500
Er: 0.358 0.179 0.500
Er: 0.500 0.000 0.000
Er: 0.500 0.500 0.000
Er: 0.642 0.821 0.500
Er: 0.821 0.179 0.500
Er: 0.821 0.642 0.500

=====

# 4
# Pr2Ho4Er5

A geometry-optimized Pr2Ho4Er5 structure (PBE-GGA, the Alexandria database).

Calculated values
Density: 8.13 Mg/m³
Symmetry: Immm
Energy above the lowest structure with this stoichiometry: 185 meV/atom
ΔH_f (0 K): 0.208 eV per atom

Lattice parameters (Å, degrees): 12.557 12.557 12.557 164.06 138.03 45.16
Atoms (fractional coordinates):
Pr: 0.233 0.233 0.000
Pr: 0.767 0.767 0.000
Ho: 0.097 0.097 0.000
Ho: 0.190 0.500 0.690
Ho: 0.810 0.500 0.310
Ho: 0.903 0.903 0.000
Er: 0.167 0.360 0.807
Er: 0.447 0.640 0.807
Er: 0.500 0.000 0.500
Er: 0.553 0.360 0.193
Er: 0.833 0.640 0.193

=====

- What is the formula in the third record?
  PrHo2Er9